(1)
TaCoTc2 after structural relaxation, computed with PBE-GGA. Values from VASP.

```
&SYSTEM
  ibrav = 0, nat = 4, ntyp = 3
/
ATOMIC_SPECIES
Ta 180.95 Ta.upf
Co 58.93 Co.upf
Tc 98.00 Tc.upf
ATOMIC_POSITIONS angstrom
Ta 0.000 0.000 0.000
Co 2.136 2.136 0.000
Tc 0.000 2.136 1.601
Tc 2.136 0.000 1.601
CELL_PARAMETERS angstrom
4.272 0.000 0.000
0.000 4.272 0.000
0.000 0.000 3.202
```

## Properties
- SG = No. 123
- V (Å³/atom) = 14.61
- energy relative to the elements (eV/f.u.) = -0.10
- density (g/cm3) = 12.4
- crystal system = tetragonal

(2)
TaCoTc2 after structural relaxation, computed with PBE-GGA. Values from VASP.

```
&SYSTEM
  ibrav = 0, nat = 4, ntyp = 3
/
ATOMIC_SPECIES
Ta 180.95 Ta.upf
Co 58.93 Co.upf
Tc 98.00 Tc.upf
ATOMIC_POSITIONS angstrom
Ta 0.000 0.000 0.000
Co 0.000 0.000 4.001
Tc 1.903 0.000 2.001
Tc 0.000 1.903 2.001
CELL_PARAMETERS angstrom
-1.903 1.903 4.001
1.903 -1.903 4.001
1.903 1.903 -4.001
```

## Properties
- SG = No. 139
- V (Å³/atom) = 14.49
- energy relative to the elements (eV/f.u.) = 0.13
- density (g/cm3) = 12.5
- crystal system = tetragonal

(3)
Ta3CoTc after structural relaxation, computed with PBE-GGA. Values from VASP.

```
&SYSTEM
  ibrav = 0, nat = 5, ntyp = 3
/
ATOMIC_SPECIES
Ta 180.95 Ta.upf
Co 58.93 Co.upf
Tc 98.00 Tc.upf
ATOMIC_POSITIONS angstrom
Ta 0.000 0.000 2.373
Ta 0.000 2.373 0.000
Ta 2.373 0.000 0.000
Co 2.373 2.373 2.373
Tc 0.000 0.000 0.000
CELL_PARAMETERS angstrom
4.746 0.000 0.000
0.000 4.746 0.000
0.000 0.000 4.746
```

## Properties
- SG = No. 221
- V (Å³/atom) = 21.38
- energy relative to the elements (eV/f.u.) = 7.80
- density (g/cm3) = 10.9
- crystal system = cubic

(4)
TaCo2Tc after structural relaxation, computed with PBE-GGA. Values from VASP.

```
&SYSTEM
  ibrav = 0, nat = 4, ntyp = 3
/
ATOMIC_SPECIES
Ta 180.95 Ta.upf
Co 58.93 Co.upf
Tc 98.00 Tc.upf
ATOMIC_POSITIONS angstrom
Ta 0.000 0.000 0.000
Co 0.000 0.000 3.945
Co 1.355 1.355 5.484
Tc 1.355 1.355 2.263
CELL_PARAMETERS angstrom
2.710 0.000 0.000
0.000 2.710 0.000
0.000 0.000 7.374
```

## Properties
- SG = No. 99
- V (Å³/atom) = 13.54
- energy relative to the elements (eV/f.u.) = 0.24
- density (g/cm3) = 12.2
- crystal system = tetragonal